The following is a PBE-GGA calculation of a geometry-optimized AcTlPt structure, from the Open Quantum Materials Database.

Lattice parameters (Å, degrees): 5.176 5.176 5.176 60.00 60.00 60.00
Fractional coordinates of all 3 atoms:
Ac 0.000 0.000 0.000
Pt 0.250 0.250 0.250
Tl 0.750 0.750 0.750

Computed properties:
- crystal system = cubic
- SG = No. 216


The following is a PBE-GGA calculation of a geometry-optimized AcTlPt structure, from the Open Quantum Materials Database.

Lattice parameters (Å, degrees): 5.052 5.052 5.052 60.00 60.00 60.00
Fractional coordinates of all 3 atoms:
Ac 0.250 0.250 0.250
Pt 0.750 0.750 0.750
Tl 0.000 0.000 0.000

Computed properties:
- crystal system = cubic
- SG = No. 216


Electronic total energy, respectively: -4.286; -4.337 eV/atom.
Polymorph energy (0 for the lowest one), respectively: 0.051; 0.000 eV/atom.